Ce4AgOs GGA-PBE optimized geometry; total magnetization = 14.3 Bohr magnetons per cell; polymorph energy (0 for the lowest one) = 0 kJ/mol of formula units; formation energy = -103 meV per atom; total energy = -153.74 eV/cell
1.0
8.331 0.000 4.810
2.777 7.855 4.810
0.000 0.000 9.620
Ce Ag Os
16 4 4
Direct
0.808 0.192 0.808 Ce
0.192 0.808 0.192 Ce
0.556 0.944 0.556 Ce
0.192 0.808 0.808 Ce
0.944 0.944 0.556 Ce
0.800 0.400 0.400 Ce
0.944 0.556 0.556 Ce
0.192 0.192 0.808 Ce
0.556 0.944 0.944 Ce
0.944 0.556 0.944 Ce
0.808 0.192 0.192 Ce
0.556 0.556 0.944 Ce
0.400 0.800 0.400 Ce
0.400 0.400 0.400 Ce
0.808 0.808 0.192 Ce
0.400 0.400 0.800 Ce
0.171 0.171 0.487 Ag
0.171 0.171 0.171 Ag
0.171 0.487 0.171 Ag
0.487 0.171 0.171 Ag
0.166 0.611 0.611 Os
0.611 0.611 0.611 Os
0.611 0.166 0.611 Os
0.611 0.611 0.166 Os